Below is crystalline ScAlNiO4 at its relaxed geometry, with properties calculated at the PBE+U level.

Cell lengths 5.895, 6.064, 8.364 Å; angles 90.00, 90.00, 90.00 degrees
Space group Imma (No. 74)
Unique sites:
Sc (0.000, 0.000, 0.000) (multiplicity 4)
Al (0.000, 0.250, 0.374) (multiplicity 4)
Ni (0.250, 0.250, 0.750) (multiplicity 4)
O (0.000, 0.002, 0.252) (multiplicity 8)
O (0.249, 0.250, 0.001) (multiplicity 8)

Output
V: 299.0 Å³/cell
Total DFT energy (no corrections): -7.255 eV/atom
Crystal system: orthorhombic